No. 1
{"formula": "ThHgTe2", "functional": "PBE-GGA", "state": "optimized geometry", "lattice": [[3.9728, 0.0000, 0.0000], [0.0000, 3.9728, 0.0000], [0.0000, 0.0000, 7.5842]], "species": ["Th", "Hg", "Te", "Te"], "fractional_positions": [[0.0000, 0.0000, 0.0000], [0.0000, 0.0000, 0.5000], [0.5000, 0.5000, 0.2270], [0.5000, 0.5000, 0.7730]], "total_energy_ev_per_atom": -4.30}

No. 2
{"formula": "Th5HgTe4", "functional": "PBE-GGA", "state": "optimized geometry", "lattice": [[3.8095, 0.0000, 0.0000], [0.0000, 3.8095, 0.0000], [0.0000, 0.0000, 19.6671]], "species": ["Th", "Th", "Th", "Th", "Th", "Hg", "Te", "Te", "Te", "Te"], "fractional_positions": [[0.0000, 0.0000, 0.0000], [0.0000, 0.0000, 0.1981], [0.0000, 0.0000, 0.3984], [0.0000, 0.0000, 0.6016], [0.0000, 0.0000, 0.8019], [0.5000, 0.5000, 0.5000], [0.5000, 0.5000, 0.0985], [0.5000, 0.5000, 0.2950], [0.5000, 0.5000, 0.7050], [0.5000, 0.5000, 0.9015]], "total_energy_ev_per_atom": -5.88}

No. 3
{"formula": "Th2HgTe4", "functional": "PBE-GGA", "state": "optimized geometry", "lattice": [[-3.6741, 3.6741, 3.9897], [3.6741, -3.6741, 3.9897], [3.6741, 3.6741, -3.9897]], "species": ["Th", "Th", "Hg", "Te", "Te", "Te", "Te"], "fractional_positions": [[0.0000, 0.5000, 0.5000], [0.5000, 0.0000, 0.5000], [0.0012, 0.0012, 0.0000], [0.0002, 0.0002, 0.5000], [0.0002, 0.5002, 0.0000], [0.5002, 0.0002, 0.0000], [0.5002, 0.5002, 0.5000]], "total_energy_ev_per_atom": -4.74}

No. 4
{"formula": "ThHgTe4", "functional": "PBE-GGA", "state": "optimized geometry", "lattice": [[5.1734, -4.1551, 0.0000], [5.1734, 4.1551, 0.0000], [0.0000, 0.0000, 9.8677]], "species": ["Th", "Th", "Hg", "Hg", "Te", "Te", "Te", "Te", "Te", "Te", "Te", "Te"], "fractional_positions": [[0.0836, 0.9164, 0.7500], [0.9164, 0.0836, 0.2500], [0.4909, 0.5091, 0.2500], [0.5091, 0.4909, 0.7500], [0.1028, 0.4277, 0.7500], [0.2199, 0.7801, 0.0503], [0.2199, 0.7801, 0.4497], [0.4277, 0.1028, 0.2500], [0.5723, 0.8972, 0.7500], [0.7801, 0.2199, 0.5503], [0.7801, 0.2199, 0.9497], [0.8972, 0.5723, 0.2500]], "total_energy_ev_per_atom": -3.84}

No. 5
{"formula": "ThHgTe2", "functional": "PBE-GGA", "state": "optimized geometry", "lattice": [[2.2580, 1.3037, 9.8154], [-2.2580, 1.3037, 9.8154], [0.0000, -2.6073, 9.8154]], "species": ["Th", "Hg", "Te", "Te"], "fractional_positions": [[0.0000, 0.0000, 0.0000], [0.8307, 0.8307, 0.8307], [0.3933, 0.3933, 0.3933], [0.6069, 0.6069, 0.6069]], "total_energy_ev_per_atom": -4.34}

No. 6
{"formula": "Th2HgTe", "functional": "PBE-GGA", "state": "optimized geometry", "lattice": [[3.7033, 0.0000, 0.0000], [0.0000, 3.7033, 0.0000], [0.0000, 0.0000, 8.2621]], "species": ["Th", "Th", "Hg", "Te"], "fractional_positions": [[0.0000, 0.0000, 0.2474], [0.0000, 0.0000, 0.7526], [0.5000, 0.5000, 0.5000], [0.5000, 0.5000, 0.0000]], "total_energy_ev_per_atom": -5.16}

No. 7
{"formula": "Th2HgTe", "functional": "PBE-GGA", "state": "optimized geometry", "lattice": [[2.2676, 1.3092, 7.1254], [-2.2676, 1.3092, 7.1254], [0.0000, -2.6184, 7.1254]], "species": ["Th", "Th", "Hg", "Te"], "fractional_positions": [[0.2448, 0.2448, 0.2448], [0.7552, 0.7552, 0.7552], [0.5000, 0.5000, 0.5000], [0.0000, 0.0000, 0.0000]], "total_energy_ev_per_atom": -5.13}

No. 8
{"formula": "ThHgTe2", "functional": "PBE-GGA", "state": "optimized geometry", "lattice": [[7.8206, 0.0000, 0.0000], [0.0000, 4.5062, 0.0000], [-3.5005, 0.0000, 9.8721]], "species": ["Th", "Th", "Hg", "Hg", "Te", "Te", "Te", "Te"], "fractional_positions": [[0.2480, 0.2500, 0.4968], [0.7520, 0.7500, 0.5032], [0.3228, 0.7500, 0.9906], [0.6772, 0.2500, 0.0094], [0.0010, 0.2500, 0.6808], [0.4935, 0.7500, 0.6774], [0.5065, 0.2500, 0.3226], [0.9990, 0.7500, 0.3192]], "total_energy_ev_per_atom": -4.35}

No. 9
{"formula": "Th4HgTe5", "functional": "PBE-GGA", "state": "optimized geometry", "lattice": [[3.8699, 0.0000, 0.0000], [0.0000, 3.8699, 0.0000], [0.0000, 0.0000, 20.3922]], "species": ["Th", "Th", "Th", "Th", "Hg", "Te", "Te", "Te", "Te", "Te"], "fractional_positions": [[0.0000, 0.0000, 0.0943], [0.0000, 0.0000, 0.2894], [0.0000, 0.0000, 0.7106], [0.0000, 0.0000, 0.9057], [0.0000, 0.0000, 0.5000], [0.5000, 0.5000, 0.0000], [0.5000, 0.5000, 0.1871], [0.5000, 0.5000, 0.3715], [0.5000, 0.5000, 0.6285], [0.5000, 0.5000, 0.8129]], "total_energy_ev_per_atom": -5.55}

No. 10
{"formula": "Th3HgTe2", "functional": "PBE-GGA", "state": "optimized geometry", "lattice": [[3.7653, 0.0000, 0.0000], [0.0000, 3.7653, 0.0000], [0.0000, 0.0000, 12.0398]], "species": ["Th", "Th", "Th", "Hg", "Te", "Te"], "fractional_positions": [[0.0000, 0.0000, 0.0000], [0.0000, 0.0000, 0.3315], [0.0000, 0.0000, 0.6685], [0.5000, 0.5000, 0.5000], [0.5000, 0.5000, 0.1615], [0.5000, 0.5000, 0.8385]], "total_energy_ev_per_atom": -5.56}

No. 11
{"formula": "ThHgTe2", "functional": "PBE-GGA", "state": "optimized geometry", "lattice": [[2.2590, 1.3042, 11.2701], [-2.2590, 1.3042, 11.2701], [0.0000, -2.6085, 11.2701]], "species": ["Th", "Hg", "Te", "Te"], "fractional_positions": [[0.0000, 0.0000, 0.0000], [0.5000, 0.5000, 0.5000], [0.3854, 0.3854, 0.3854], [0.6146, 0.6146, 0.6146]], "total_energy_ev_per_atom": -4.34}

No. 12
{"formula": "Th3Hg2Te6", "functional": "PBE-GGA", "state": "optimized geometry", "lattice": [[3.9136, -6.7787, 0.0000], [3.9136, 6.7787, 0.0000], [-2.6116, 0.0000, 9.5842]], "species": ["Th", "Th", "Th", "Hg", "Hg", "Te", "Te", "Te", "Te", "Te", "Te"], "fractional_positions": [[0.0000, 0.0000, 0.0000], [0.3334, 0.6666, 0.0000], [0.6666, 0.3334, 0.0000], [0.1666, 0.8334, 0.5000], [0.8334, 0.1666, 0.5000], [0.0609, 0.3947, 0.1841], [0.2714, 0.2714, 0.8159], [0.3947, 0.0609, 0.1841], [0.6053, 0.9391, 0.8159], [0.7286, 0.7286, 0.1841], [0.9391, 0.6053, 0.8159]], "total_energy_ev_per_atom": -4.72}

Number 1: uncorrected formation energy -0.80 eV per atom, volume 29.926 A^3/atom. Number 2: uncorrected formation energy -0.89 eV per atom, volume 28.542 A^3/atom. Number 3: uncorrected formation energy -0.79 eV per atom, volume 30.775 A^3/atom. Number 4: uncorrected formation energy -0.46 eV per atom, volume 35.353 A^3/atom. Number 5: uncorrected formation energy -0.84 eV per atom, volume 43.341 A^3/atom. Number 6: uncorrected formation energy -0.59 eV per atom, volume 28.328 A^3/atom. Number 7: uncorrected formation energy -0.56 eV per atom, volume 31.729 A^3/atom. Number 8: uncorrected formation energy -0.85 eV per atom, volume 43.488 A^3/atom. Number 9: uncorrected formation energy -0.98 eV per atom, volume 30.539 A^3/atom. Number 10: uncorrected formation energy -0.76 eV per atom, volume 28.449 A^3/atom. Number 11: uncorrected formation energy -0.84 eV per atom, volume 49.807 A^3/atom. Number 12: uncorrected formation energy -0.93 eV per atom, volume 46.229 A^3/atom.